Record 1
The following is a DFT calculation (PBE) of a relaxed structure of InPRu2.

Values from the calculation:
crystal system	monoclinic
symmetry	C2/m (12)
VASP energy	-27.5	eV/cell
E_form	-0.212	eV per atom
N(E_F)	0.414	states/eV per atom

Cell lengths 3.654, 3.654, 7.216 Å; angles 73.61, 73.61, 47.88 degrees
Atoms (fractional coordinates):
Ru 0.734 0.734 0.171
Ru 0.266 0.266 0.829
P 0.500 0.500 0.000
In 0.000 0.000 0.500



Record 2
The following is a DFT calculation (PBE) of a relaxed structure of InPRu.

Values from the calculation:
crystal system	tetragonal
symmetry	P4mm (99)
VASP energy	-18.2	eV/cell
E_form	-0.254	eV per atom
N(E_F)	0.420	states/eV per atom

Cell lengths 2.971, 2.971, 5.872 Å; angles 90.00, 90.00, 90.00 degrees
Atoms (fractional coordinates):
In 0.000 0.000 0.030
P 0.000 0.000 0.585
Ru 0.500 0.500 0.384



Record 3
The following is a DFT calculation (PBE) of a relaxed structure of InPRu2.

Values from the calculation:
crystal system	cubic
symmetry	F-43m (216)
VASP energy	-24.8	eV/cell
E_form	0.479	eV per atom
N(E_F)	0.844	states/eV per atom

Cell lengths 4.476, 4.476, 4.476 Å; angles 60.00, 60.00, 60.00 degrees
Each line ends with the local moment (μB).
Atoms (fractional coordinates):
Ru 0.250 0.250 0.250  0.57
Ru 0.000 0.000 0.000  0.75
In 0.500 0.500 0.500  0.00
P 0.750 0.750 0.750  -0.01



Record 4
The following is a DFT calculation (PBE) of a relaxed structure of InPRu2.

Values from the calculation:
crystal system	cubic
symmetry	Fm-3m (225)
VASP energy	-26.3	eV/cell
E_form	0.093	eV per atom
N(E_F)	0.281	states/eV per atom

Cell lengths 4.384, 4.384, 4.384 Å; angles 60.00, 60.00, 60.00 degrees
Atoms (fractional coordinates):
P 0.000 0.000 0.000
In 0.500 0.500 0.500
Ru 0.250 0.250 0.250
Ru 0.750 0.750 0.750



Record 5
The following is a DFT calculation (PBE) of a relaxed structure of InPRu.

Values from the calculation:
crystal system	monoclinic
symmetry	Cm (8)
VASP energy	-18.2	eV/cell
E_form	-0.246	eV per atom
N(E_F)	0.089	states/eV per atom

Cell lengths 3.190, 3.190, 6.170 Å; angles 78.30, 78.34, 66.00 degrees
Atoms (fractional coordinates):
P 0.607 0.510 0.406
In 0.749 0.652 0.972
Ru 0.194 0.097 0.620



Record 6
The following is a DFT calculation (PBE) of a relaxed structure of InPRu.

Values from the calculation:
crystal system	monoclinic
symmetry	Cm (8)
VASP energy	-35.7	eV/cell
E_form	-0.137	eV per atom
N(E_F)	0.303	states/eV per atom

Cell lengths 4.553, 3.096, 8.155 Å; angles 90.00, 100.63, 90.00 degrees
Atoms (fractional coordinates):
Ru 0.501 0.000 0.620
Ru 0.501 0.500 0.120
P 0.483 0.000 0.909
P 0.483 0.500 0.409
In 0.015 0.000 0.178
In 0.015 0.500 0.678